# EuSbPdAu (PBE, optimized geometry)
# Total DFT energy (no corrections), eV/atom: -6.31
# SG: F-43m, No. 216
# Total magnetic moment, μB/cell: 27.4
# N(E_F), states/eV per atom: 3.1232
data_EuSbPdAu
_symmetry_space_group_name_H-M 'P 1'
_symmetry_Int_Tables_number 1
_cell_length_a 7.072
_cell_length_b 7.072
_cell_length_c 7.072
_cell_angle_alpha 90.00
_cell_angle_beta 90.00
_cell_angle_gamma 90.00
loop_
_symmetry_equiv_pos_as_xyz
'x,y,z'
loop_
_atom_site_label
_atom_site_type_symbol
_atom_site_fract_x
_atom_site_fract_y
_atom_site_fract_z
Eu1 Eu 0.000 0.000 0.000
Eu2 Eu 0.000 0.500 0.500
Eu3 Eu 0.500 0.000 0.500
Eu4 Eu 0.500 0.500 0.000
Sb1 Sb 0.000 0.000 0.500
Sb2 Sb 0.000 0.500 0.000
Sb3 Sb 0.500 0.000 0.000
Sb4 Sb 0.500 0.500 0.500
Pd1 Pd 0.250 0.250 0.250
Pd2 Pd 0.250 0.750 0.750
Pd3 Pd 0.750 0.250 0.750
Pd4 Pd 0.750 0.750 0.250
Au1 Au 0.250 0.250 0.750
Au2 Au 0.250 0.750 0.250
Au3 Au 0.750 0.250 0.250
Au4 Au 0.750 0.750 0.750



# K2NaMnBr5 (PBE, optimized geometry)
# Total DFT energy (no corrections), eV/atom: -3.71
# SG: Cmc2_1, No. 36
# Total magnetic moment, μB/cell: 10.0
# N(E_F), states/eV per atom: 0.0000
data_K2NaMnBr5
_symmetry_space_group_name_H-M 'P 1'
_symmetry_Int_Tables_number 1
_cell_length_a 10.191
_cell_length_b 10.191
_cell_length_c 13.790
_cell_angle_alpha 90.00
_cell_angle_beta 90.00
_cell_angle_gamma 155.27
loop_
_symmetry_equiv_pos_as_xyz
'x,y,z'
loop_
_atom_site_label
_atom_site_type_symbol
_atom_site_fract_x
_atom_site_fract_y
_atom_site_fract_z
K1 K 0.129 0.871 0.500
K2 K 0.134 0.866 0.144
K3 K 0.866 0.134 0.644
K4 K 0.871 0.129 0.000
Na1 Na 0.213 0.787 0.854
Na2 Na 0.787 0.213 0.354
Mn1 Mn 0.440 0.560 0.250
Mn2 Mn 0.560 0.440 0.750
Br1 Br 0.043 0.957 0.845
Br2 Br 0.297 0.703 0.492
Br3 Br 0.320 0.680 0.198
Br4 Br 0.357 0.643 0.825
Br5 Br 0.500 0.500 0.093
Br6 Br 0.500 0.500 0.593
Br7 Br 0.643 0.357 0.325
Br8 Br 0.680 0.320 0.698
Br9 Br 0.703 0.297 0.992
Br10 Br 0.957 0.043 0.345



# SrScHgI2 (PBE, optimized geometry)
# Total DFT energy (no corrections), eV/atom: -2.41
# SG: P4/mmm, No. 123
# Total magnetic moment, μB/cell: 1.1
# N(E_F), states/eV per atom: 0.6253
data_SrScHgI2
_symmetry_space_group_name_H-M 'P 1'
_symmetry_Int_Tables_number 1
_cell_length_a 6.269
_cell_length_b 6.269
_cell_length_c 6.544
_cell_angle_alpha 90.00
_cell_angle_beta 90.00
_cell_angle_gamma 90.00
loop_
_symmetry_equiv_pos_as_xyz
'x,y,z'
loop_
_atom_site_label
_atom_site_type_symbol
_atom_site_fract_x
_atom_site_fract_y
_atom_site_fract_z
Sr1 Sr 0.000 0.000 0.000
Sc1 Sc 0.500 0.500 0.500
Hg1 Hg 0.000 0.000 0.500
I1 I 0.000 0.500 0.000
I2 I 0.500 0.000 0.000



# KTa4Cr (PBE, optimized geometry)
# SG: F-43m, No. 216
# Total magnetic moment, μB/cell: 3.3
# Formation enthalpy at 0 K, eV per atom: 1.153
# N(E_F), states/eV per atom: 1.2133
data_KTa4Cr
_symmetry_space_group_name_H-M 'P 1'
_symmetry_Int_Tables_number 1
_cell_length_a 5.654
_cell_length_b 5.654
_cell_length_c 5.654
_cell_angle_alpha 60.00
_cell_angle_beta 60.00
_cell_angle_gamma 60.00
loop_
_symmetry_equiv_pos_as_xyz
'x,y,z'
loop_
_atom_site_label
_atom_site_type_symbol
_atom_site_fract_x
_atom_site_fract_y
_atom_site_fract_z
K1 K 0.000 0.000 0.000
Ta1 Ta 0.126 0.625 0.625
Ta2 Ta 0.625 0.126 0.625
Ta3 Ta 0.625 0.625 0.126
Ta4 Ta 0.625 0.625 0.625
Cr1 Cr 0.250 0.250 0.250



# Ac2EuAg (PBE, optimized geometry)
# SG: Fm-3m, No. 225
# Total magnetic moment, μB/cell: 30.6
# Formation enthalpy at 0 K, eV per atom: 0.066
# N(E_F), states/eV per atom: 1.0793
# Offset from the most stable computed form, meV/atom: 162
data_Ac2EuAg
_symmetry_space_group_name_H-M 'P 1'
_symmetry_Int_Tables_number 1
_cell_length_a 8.266
_cell_length_b 8.266
_cell_length_c 8.266
_cell_angle_alpha 90.00
_cell_angle_beta 90.00
_cell_angle_gamma 90.00
loop_
_symmetry_equiv_pos_as_xyz
'x,y,z'
loop_
_atom_site_label
_atom_site_type_symbol
_atom_site_fract_x
_atom_site_fract_y
_atom_site_fract_z
Ac1 Ac 0.250 0.250 0.250
Ac2 Ac 0.250 0.250 0.750
Ac3 Ac 0.250 0.750 0.250
Ac4 Ac 0.250 0.750 0.750
Ac5 Ac 0.750 0.250 0.250
Ac6 Ac 0.750 0.250 0.750
Ac7 Ac 0.750 0.750 0.250
Ac8 Ac 0.750 0.750 0.750
Eu1 Eu 0.000 0.000 0.000
Eu2 Eu 0.000 0.500 0.500
Eu3 Eu 0.500 0.000 0.500
Eu4 Eu 0.500 0.500 0.000
Ag1 Ag 0.000 0.000 0.500
Ag2 Ag 0.000 0.500 0.000
Ag3 Ag 0.500 0.000 0.000
Ag4 Ag 0.500 0.500 0.500



# ScInMo4 (PBE, optimized geometry)
# SG: F-43m, No. 216
# Total magnetic moment, μB/cell: 0.0
# Formation enthalpy at 0 K, eV per atom: 0.116
# N(E_F), states/eV per atom: 0.8290
data_ScInMo4
_symmetry_space_group_name_H-M 'P 1'
_symmetry_Int_Tables_number 1
_cell_length_a 5.357
_cell_length_b 5.357
_cell_length_c 5.357
_cell_angle_alpha 60.00
_cell_angle_beta 60.00
_cell_angle_gamma 60.00
loop_
_symmetry_equiv_pos_as_xyz
'x,y,z'
loop_
_atom_site_label
_atom_site_type_symbol
_atom_site_fract_x
_atom_site_fract_y
_atom_site_fract_z
Sc1 Sc 0.000 0.000 0.000
In1 In 0.750 0.750 0.750
Mo1 Mo 0.376 0.376 0.376
Mo2 Mo 0.376 0.376 0.873
Mo3 Mo 0.376 0.873 0.376
Mo4 Mo 0.873 0.376 0.376



# Th6Ge2Te3Ir (PBE, optimized geometry)
# Total DFT energy (no corrections), eV/atom: -7.04
# SG: C2/m, No. 12
# Total magnetic moment, μB/cell: 0.0
# N(E_F), states/eV per atom: 0.7528
data_Th6Ge2Te3Ir
_symmetry_space_group_name_H-M 'P 1'
_symmetry_Int_Tables_number 1
_cell_length_a 9.878
_cell_length_b 9.878
_cell_length_c 9.041
_cell_angle_alpha 104.24
_cell_angle_beta 104.24
_cell_angle_gamma 24.95
loop_
_symmetry_equiv_pos_as_xyz
'x,y,z'
loop_
_atom_site_label
_atom_site_type_symbol
_atom_site_fract_x
_atom_site_fract_y
_atom_site_fract_z
Th1 Th 0.004 0.004 0.217
Th2 Th 0.326 0.326 0.435
Th3 Th 0.345 0.345 0.903
Th4 Th 0.655 0.655 0.097
Th5 Th 0.674 0.674 0.565
Th6 Th 0.996 0.996 0.783
Ge1 Ge 0.166 0.166 0.333
Ge2 Ge 0.834 0.834 0.667
Te1 Te 0.171 0.171 0.833
Te2 Te 0.500 0.500 0.500
Te3 Te 0.829 0.829 0.167
Ir1 Ir 0.500 0.500 0.000



# H2RhS (PBE, optimized geometry)
# SG: R-3m, No. 166
# Total magnetic moment, μB/cell: 0.0
# N(E_F), states/eV per atom: 0.3586
# Offset from the most stable computed form, meV/atom: 325
data_H2RhS
_symmetry_space_group_name_H-M 'P 1'
_symmetry_Int_Tables_number 1
_cell_length_a 3.422
_cell_length_b 3.422
_cell_length_c 11.366
_cell_angle_alpha 90.00
_cell_angle_beta 90.00
_cell_angle_gamma 120.00
loop_
_symmetry_equiv_pos_as_xyz
'x,y,z'
loop_
_atom_site_label
_atom_site_type_symbol
_atom_site_fract_x
_atom_site_fract_y
_atom_site_fract_z
H1 H 0.000 0.000 0.146
H2 H 0.000 0.000 0.854
H3 H 0.333 0.667 0.521
H4 H 0.333 0.667 0.812
H5 H 0.667 0.333 0.188
H6 H 0.667 0.333 0.479
Rh1 Rh 0.000 0.000 0.000
Rh2 Rh 0.333 0.667 0.667
Rh3 Rh 0.667 0.333 0.333
S1 S 0.000 0.000 0.500
S2 S 0.333 0.667 0.167
S3 S 0.667 0.333 0.833



# CrFeMo2 (PBE, optimized geometry)
# SG: Fm-3m, No. 225
# Total magnetic moment, μB/cell: 8.1
# Formation enthalpy at 0 K, eV per atom: 0.135
# N(E_F), states/eV per atom: 0.3092
# Offset from the most stable computed form, meV/atom: 35
data_CrFeMo2
_symmetry_space_group_name_H-M 'P 1'
_symmetry_Int_Tables_number 1
_cell_length_a 6.034
_cell_length_b 6.034
_cell_length_c 6.034
_cell_angle_alpha 90.00
_cell_angle_beta 90.00
_cell_angle_gamma 90.00
loop_
_symmetry_equiv_pos_as_xyz
'x,y,z'
loop_
_atom_site_label
_atom_site_type_symbol
_atom_site_fract_x
_atom_site_fract_y
_atom_site_fract_z
Cr1 Cr 0.000 0.000 0.000
Cr2 Cr 0.000 0.500 0.500
Cr3 Cr 0.500 0.000 0.500
Cr4 Cr 0.500 0.500 0.000
Fe1 Fe 0.000 0.000 0.500
Fe2 Fe 0.000 0.500 0.000
Fe3 Fe 0.500 0.000 0.000
Fe4 Fe 0.500 0.500 0.500
Mo1 Mo 0.250 0.250 0.250
Mo2 Mo 0.250 0.250 0.750
Mo3 Mo 0.250 0.750 0.250
Mo4 Mo 0.250 0.750 0.750
Mo5 Mo 0.750 0.250 0.250
Mo6 Mo 0.750 0.250 0.750
Mo7 Mo 0.750 0.750 0.250
Mo8 Mo 0.750 0.750 0.750



# Sc2CrCdPb (PBE, optimized geometry)
# SG: P4/mmm, No. 123
# Total magnetic moment, μB/cell: 3.4
# Formation enthalpy at 0 K, eV per atom: 0.720
# N(E_F), states/eV per atom: 1.4992
# Offset from the most stable computed form, meV/atom: 0
data_Sc2CrCdPb
_symmetry_space_group_name_H-M 'P 1'
_symmetry_Int_Tables_number 1
_cell_length_a 5.447
_cell_length_b 5.447
_cell_length_c 5.123
_cell_angle_alpha 90.00
_cell_angle_beta 90.00
_cell_angle_gamma 90.00
loop_
_symmetry_equiv_pos_as_xyz
'x,y,z'
loop_
_atom_site_label
_atom_site_type_symbol
_atom_site_fract_x
_atom_site_fract_y
_atom_site_fract_z
Sc1 Sc 0.000 0.500 0.000
Sc2 Sc 0.500 0.000 0.000
Cr1 Cr 0.000 0.000 0.500
Cd1 Cd 0.500 0.500 0.500
Pb1 Pb 0.000 0.000 0.000